Compound: AgPbW2
Source: Alexandria via LeMat-Bulk
Functional: SCAN
Structure: single point on PBEsol structure

abc: 3.2240 4.5870 9.5302
angles: 90.00 90.00 90.00
Closest atoms and distances in Å follow each position.
Space group Immm (No. 71)
Asymmetric unit:
1 Ag 0.0000 0.0000 0.0000 (multiplicity 2)  4 Pb 2.80, 4 W 2.90
2 Pb 0.0000 0.0000 0.5000 (multiplicity 2)  4 Ag 2.80, 4 W 2.86
3 W 0.0000 0.5000 0.2475 (multiplicity 4)  4 W 2.80, 2 Pb 2.86, 2 Ag 2.90

## Properties
For the total moment, the calculation gives 0.00 μB/f.u. Its energy is -60.64 eV/atom. The value obtained for the volume is 17.6 Å³/atom. The energy above the lowest structure with this stoichiometry comes out at 0.0 meV/atom. The energy of formation from the pure elements is 381 kJ/mol of formula units.

---

Compound: Ag2PbW
Source: Alexandria via LeMat-Bulk
Functional: SCAN
Structure: single point on PBEsol structure

abc: 6.7232 6.7232 6.7232
angles: 90.00 90.00 90.00
Closest atoms and distances in Å follow each position.
Space group Fm-3m (No. 225)
Asymmetric unit:
1 Ag 0.2500 0.2500 0.2500 (multiplicity 8)  4 W 2.91, 4 Pb 2.91
2 Pb 0.0000 0.0000 0.0000 (multiplicity 4)  8 Ag 2.91
3 W 0.0000 0.0000 0.5000 (multiplicity 4)  8 Ag 2.91

## Properties
For the total moment, the calculation gives 2.96 μB/f.u. Its energy is -50.90 eV/atom. The value obtained for the volume is 19.0 Å³/atom. The energy above the lowest structure with this stoichiometry comes out at 375.5 meV/atom. The energy of formation from the pure elements is 443 kJ/mol of formula units.

---

Compound: Ag2PbW
Source: Alexandria via LeMat-Bulk
Functional: SCAN
Structure: single point on PBEsol structure

abc: 5.6129 9.0511 2.8772
angles: 90.00 92.99 90.00
Closest atoms and distances in Å follow each position.
Space group C2/m (No. 12)
Asymmetric unit:
1 Ag 0.2500 0.2500 0.0000 (multiplicity 4)  4 Ag 2.81-2.88, 4 W 2.99-3.06, 4 Pb 2.99-3.06
2 Pb 0.0000 0.0000 0.5000 (multiplicity 2)  2 W 2.81, 2 Pb 2.88, 8 Ag 2.99-3.06
3 W 0.0000 0.5000 0.5000 (multiplicity 2)  2 Pb 2.81, 2 W 2.88, 8 Ag 2.99-3.06

## Properties
For the total moment, the calculation gives 0.00 μB/f.u. Its energy is -51.28 eV/atom. The value obtained for the volume is 18.2 Å³/atom. The energy above the lowest structure with this stoichiometry comes out at 0.0 meV/atom. The energy of formation from the pure elements is 298 kJ/mol of formula units.

---

Compound: AgPb2W
Source: Alexandria via LeMat-Bulk
Functional: SCAN
Structure: single point on PBEsol structure

abc: 3.6096 4.9627 9.5684
angles: 90.00 90.00 90.00
Closest atoms and distances in Å follow each position.
Space group Cmmm (No. 65)
Asymmetric unit:
1 Ag 0.0000 0.0000 0.0000 (multiplicity 2)  4 Ag 3.07, 4 Pb 3.08
2 Pb 0.0000 0.5000 0.2611 (multiplicity 4)  2 W 2.91, 4 Pb 3.07, 2 Ag 3.08
3 W 0.0000 0.0000 0.5000 (multiplicity 2)  4 Pb 2.91, 4 W 3.07

## Properties
For the total moment, the calculation gives 0.00 μB/f.u. Its energy is -62.32 eV/atom. The value obtained for the volume is 21.4 Å³/atom. The energy of formation from the pure elements is 323 kJ/mol of formula units.

---

Compound: AgPbW2
Source: Alexandria via LeMat-Bulk
Functional: SCAN
Structure: single point on PBEsol structure

abc: 4.8222 4.8222 2.9940
angles: 90.00 90.00 90.00
Closest atoms and distances in Å follow each position.
Space group P4/mmm (No. 123)
Asymmetric unit:
1 Ag 0.0000 0.0000 0.0000 (multiplicity 1)  8 W 2.84, 2 Ag 2.99
2 Pb 0.5000 0.5000 0.0000 (multiplicity 1)  8 W 2.84, 2 Pb 2.99
3 W 0.0000 0.5000 0.5000 (multiplicity 2)  4 Pb 2.84, 4 Ag 2.84, 2 W 2.99

## Properties
For the total moment, the calculation gives 0.00 μB/f.u. Its energy is -60.28 eV/atom. The value obtained for the volume is 17.4 Å³/atom. The energy above the lowest structure with this stoichiometry comes out at 360.3 meV/atom. The energy of formation from the pure elements is 520 kJ/mol of formula units.

---

Compound: Ag2PbW
Source: Alexandria via LeMat-Bulk
Functional: SCAN
Structure: single point on PBEsol structure

abc: 4.0504 4.0504 4.3760
angles: 90.00 90.00 90.00
Closest atoms and distances in Å follow each position.
Space group P4/mmm (No. 123)
Asymmetric unit:
1 Ag 0.0000 0.5000 0.0000 (multiplicity 2)  4 Ag 2.86, 4 W 2.98, 4 Pb 2.98
2 Pb 0.0000 0.0000 0.5000 (multiplicity 1)  4 W 2.86, 8 Ag 2.98
3 W 0.5000 0.5000 0.5000 (multiplicity 1)  4 Pb 2.86, 8 Ag 2.98

## Properties
For the total moment, the calculation gives 0.32 μB/f.u. Its energy is -51.20 eV/atom. The value obtained for the volume is 17.9 Å³/atom. The energy above the lowest structure with this stoichiometry comes out at 83.1 meV/atom. The energy of formation from the pure elements is 330 kJ/mol of formula units.

---

Compound: YAg2Pb
Source: Alexandria via LeMat-Bulk
Functional: SCAN
Structure: single point on PBEsol structure

abc: 7.0005 7.0005 7.0005
angles: 90.00 90.00 90.00
Closest atoms and distances in Å follow each position.
Space group F-43m (No. 216)
Asymmetric unit:
1 Y 0.0000 0.0000 0.0000 (multiplicity 4)  4 Pb 3.03, 4 Ag 3.03
2 Ag 0.0000 0.0000 0.5000 (multiplicity 4)  4 Ag 3.03, 4 Pb 3.03
3 Ag 0.2500 0.2500 0.7500 (multiplicity 4)  4 Y 3.03, 4 Ag 3.03
4 Pb 0.2500 0.2500 0.2500 (multiplicity 4)  4 Y 3.03, 4 Ag 3.03

## Properties
For the total moment, the calculation gives 0.00 μB/f.u. Its energy is -41.90 eV/atom. The value obtained for the volume is 21.4 Å³/atom. The energy of formation from the pure elements is -122 kJ/mol of formula units.

---

Compound: YAg2Pb
Source: Alexandria via LeMat-Bulk
Functional: SCAN
Structure: single point on PBEsol structure

abc: 4.8926 4.8926 7.1773
angles: 90.00 90.00 90.00
Closest atoms and distances in Å follow each position.
Space group I4/mmm (No. 139)
Asymmetric unit:
1 Y 0.0000 0.0000 0.0000 (multiplicity 2)  8 Ag 3.03
2 Ag 0.0000 0.5000 0.2500 (multiplicity 4)  4 Y 3.03, 4 Pb 3.03
3 Pb 0.0000 0.0000 0.5000 (multiplicity 2)  8 Ag 3.03

## Properties
For the total moment, the calculation gives 0.00 μB/f.u. Its energy is -41.90 eV/atom. The value obtained for the volume is 21.5 Å³/atom. The energy of formation from the pure elements is -121 kJ/mol of formula units.